[1]
Computed, not measured: an optimized crystal structure of KAgPt2 at the PBE level of DFT.

Geometry as POSCAR:
```
KAgPt2
1.0
3.4288 0.0000 0.0000
0.0000 3.4288 0.0000
0.0000 0.0000 7.7689
K Ag Pt
1 1 2
direct
0.5000 0.5000 0.7715
0.0000 0.0000 0.4352
0.5000 0.5000 0.2109
0.0000 0.0000 0.0824
```

## Properties
Calculated total energy (hartree per atom): -0.1408
ΔH_f (0 K) (eV/atom): 0.18
M_tot (μB per cell): 0.00

***

[2]
Computed, not measured: an optimized crystal structure of PaMn3C at the PBE level of DFT.

Geometry as POSCAR:
```
PaMn3C
1.0
-0.1139 -3.9417 -0.1283
0.6658 0.1073 -3.8873
3.8872 -0.1338 0.6621
Pa Mn C
1 3 1
direct
0.5000 0.5000 0.5000
0.0000 0.0000 0.5000
0.5000 0.0000 0.0000
0.0000 0.5000 0.0000
0.0000 0.0000 0.0000
```

## Properties
Calculated total energy (hartree per atom): -0.3460
ΔH_f (0 K) (eV/atom): -0.17
M_tot (μB per cell): 0.00

***

[3]
Computed, not measured: an optimized crystal structure of Sn2HgRh2 at the PBE level of DFT.

Geometry as POSCAR:
```
Sn2HgRh2
1.0
-2.2298 -0.1040 -7.6820
6.9762 -3.3780 -1.9792
-1.2123 -2.7315 0.3889
Sn Rh Hg
4 4 2
direct
0.1534 0.3466 0.0000
0.3466 0.8466 0.0000
0.8466 0.6534 0.0000
0.6534 0.1534 0.0000
0.3615 0.1385 0.5000
0.1385 0.6385 0.5000
0.8615 0.3615 0.5000
0.6385 0.8615 0.5000
0.0000 0.0000 0.0000
0.5000 0.5000 0.0000
```

## Properties
Calculated total energy (hartree per atom): -0.1752
Excess energy over the best structure of this formula in the dataset (eV/f.u.): 0.64
ΔH_f (0 K) (eV/atom): -0.16
M_tot (μB per cell): 0.00

***

[4]
Computed, not measured: an optimized crystal structure of Tb2PuIr2 at the PBE level of DFT.

Geometry as POSCAR:
```
Tb2PuIr2
1.0
3.8988 0.0041 1.6587
1.3205 5.1709 2.2976
-0.1616 0.4183 5.7931
Pu Ir Tb
1 2 2
direct
0.5000 0.5000 0.0000
0.0000 0.2224 0.2776
0.0000 0.7776 0.7224
0.3020 0.1980 0.6980
0.6980 0.8020 0.3020
```

## Properties
Calculated total energy (hartree per atom): -0.3269
Excess energy over the best structure of this formula in the dataset (eV/f.u.): 0.00
ΔH_f (0 K) (eV/atom): -0.63
M_tot (μB per cell): 5.33

***

[5]
Computed, not measured: an optimized crystal structure of Cd2PdO4 at the PBE level of DFT.

Geometry as POSCAR:
```
Cd2PdO4
1.0
3.2481 0.0000 0.0000
-1.6240 4.7094 -2.2496
0.0000 0.1591 5.8690
Cd O Pd
2 4 1
direct
0.3301 0.6603 0.3444
0.6699 0.3397 0.6556
0.6213 0.2425 0.9856
0.3787 0.7575 0.0144
0.8838 0.7676 0.6275
0.1162 0.2324 0.3725
0.0000 0.0000 0.0000
```

## Properties
Raw formation energy (meV per atom): -672
Calculated total energy (hartree per atom): -0.1657
M_tot (μB per cell): 0.00